This record from the Alexandria database describes a relaxed ScTiNiMo2 crystal. The functional is PBE.

Unit cell a=4.4995 b=4.4995 c=4.8741 alpha=90.00 beta=90.00 gamma=90.00
Last column: nearest neighbours and their distance in Å.
Sites, in units of the cell vectors:
Sc1 0.0000 0.0000 0.0000  2 Ti 2.44
Ti1 0.0000 0.0000 0.5000  4 Mo 2.25, 2 Sc 2.44
Ni1 0.5000 0.5000 0.0000  4 Sc 3.18, 8 Mo 3.32
Mo1 0.0000 0.5000 0.5000  2 Ti 2.25
Mo2 0.5000 0.0000 0.5000  2 Ti 2.25

Values from the calculation:
The space-group type is P4/mmm (123). The total energy is -6.9455 eV per atom.

This record from the Alexandria database describes a relaxed Ba3PaOs2N6 crystal. The functional is PBE.

Unit cell a=6.2556 b=6.2556 c=7.2652 alpha=90.00 beta=90.00 gamma=120.00
Last column: nearest neighbours and their distance in Å.
Sites, in units of the cell vectors:
Ba1 0.0000 0.0000 0.0000  6 N 2.89
Ba2 0.3333 0.6667 0.7184  9 N 3.13-3.47, 1 Os 3.41
Ba3 0.6667 0.3333 0.2816  9 N 3.13-3.47, 1 Os 3.41
Pa1 0.0000 0.0000 0.5000  6 N 2.29
Os1 0.3333 0.6667 0.2486  3 N 1.84
Os2 0.6667 0.3333 0.7514  3 N 1.84
N1 0.1682 0.3363 0.3085  1 Os 1.84
N2 0.1682 0.8318 0.3085  1 Os 1.84
N3 0.3363 0.1682 0.6915  1 Os 1.84
N4 0.6637 0.8318 0.3085  1 Os 1.84
N5 0.8318 0.1682 0.6915  1 Os 1.84
N6 0.8318 0.6637 0.6915  1 Os 1.84

Values from the calculation:
The space-group type is P-3m1 (164). Its raw formation energy is -631.2 meV per atom.

This record from the Alexandria database describes a relaxed KErCu2O4 crystal. The functional is PBE.

Unit cell a=3.8685 b=3.8685 c=7.1139 alpha=90.00 beta=90.00 gamma=90.00
Last column: nearest neighbours and their distance in Å.
Sites, in units of the cell vectors:
K1 0.0000 0.0000 0.0000  8 O 2.89
Er1 0.0000 0.0000 0.5000  8 O 2.39
Cu1 0.5000 0.5000 0.2811  4 O 1.94
Cu2 0.5000 0.5000 0.7189  4 O 1.94
O1 0.0000 0.5000 0.3023  2 Cu 1.94
O2 0.0000 0.5000 0.6977  2 Cu 1.94
O3 0.5000 0.0000 0.3023  2 Cu 1.94
O4 0.5000 0.0000 0.6977  2 Cu 1.94

Values from the calculation:
The space-group type is P4/mmm (123). Its raw formation energy is -1686.1 meV per atom.

This record from the Alexandria database describes a relaxed SmDyAl2 crystal. The functional is PBE.

Unit cell a=9.4833 b=9.4833 c=9.4833 alpha=22.07 beta=22.07 gamma=22.07
Last column: nearest neighbours and their distance in Å.
Sites, in units of the cell vectors:
Sm1 0.0000 0.0000 0.0000  6 Al 3.15
Dy1 0.5000 0.5000 0.5000  6 Al 3.09
Al1 0.2486 0.2486 0.2486  3 Dy 3.09, 3 Sm 3.15
Al2 0.7514 0.7514 0.7514  3 Dy 3.09, 3 Sm 3.15

Values from the calculation:
The space-group type is R-3m (166). As for the offset from the most stable computed form: 23.52 kJ per mole of atoms.

This record from the Alexandria database describes a relaxed Pm3Ho6Sc crystal. The functional is PBE.

Unit cell a=6.1118 b=6.1344 c=9.3459 alpha=102.54 beta=109.05 gamma=99.56
Last column: nearest neighbours and their distance in Å.
Sites, in units of the cell vectors:
Pm1 0.0000 0.0000 0.0000  8 Ho 3.54-3.56, 4 Pm 3.55-3.56
Pm2 0.2003 0.6009 0.2043  8 Ho 3.48-3.58, 1 Sc 3.50, 3 Pm 3.55-3.60
Pm3 0.7997 0.3991 0.7957  8 Ho 3.48-3.58, 1 Sc 3.50, 3 Pm 3.55-3.60
Ho1 0.1974 0.0977 0.6962  7 Ho 3.47-3.59, 3 Pm 3.52-3.55, 2 Sc 3.52-3.53
Ho2 0.3978 0.6982 0.8968  1 Sc 3.51, 6 Ho 3.52-3.59, 5 Pm 3.52-3.58
Ho3 0.4032 0.2042 0.4028  4 Pm 3.48-3.56, 6 Ho 3.49-3.54, 2 Sc 3.51-3.52
Ho4 0.5968 0.7958 0.5972  4 Pm 3.48-3.56, 6 Ho 3.49-3.54, 2 Sc 3.51-3.52
Ho5 0.6022 0.3018 0.1032  1 Sc 3.51, 6 Ho 3.52-3.59, 5 Pm 3.52-3.58
Ho6 0.8026 0.9023 0.3038  7 Ho 3.47-3.59, 3 Pm 3.52-3.55, 2 Sc 3.52-3.53
Sc1 0.0000 0.5000 0.5000  2 Pm 3.50, 10 Ho 3.51-3.53

Values from the calculation:
The space-group type is P-1 (2). As for the offset from the most stable computed form: 0.00 kJ per mole of atoms.

This record from the Alexandria database describes a relaxed FeSeCl crystal. The functional is PBE.

Unit cell a=8.0814 b=7.3521 c=4.0320 alpha=85.16 beta=65.03 gamma=29.81
Last column: nearest neighbours and their distance in Å.
Sites, in units of the cell vectors:
Fe1 0.0000 0.0000 0.0000  2 Cl 2.29, 2 Se 2.32
Se1 0.6182 0.6182 0.3818  2 Fe 2.32
Cl1 0.3850 0.3850 0.6150  2 Fe 2.29

Values from the calculation:
The space-group type is Fmm2 (42). Its raw formation energy is -209.8 meV per atom.

This record from the Alexandria database describes a relaxed CuTeI2Br crystal. The functional is PBE.

Unit cell a=5.2710 b=5.2710 c=5.4179 alpha=90.00 beta=90.00 gamma=90.00
Last column: nearest neighbours and their distance in Å.
Sites, in units of the cell vectors:
Cu1 0.0000 0.0000 0.0000  4 I 2.64, 2 Te 2.71
Te1 0.0000 0.0000 0.5000  2 Cu 2.71
I1 0.0000 0.5000 0.0000  2 Cu 2.64
I2 0.5000 0.0000 0.0000  2 Cu 2.64
Br1 0.5000 0.5000 0.5000  4 Te 3.73, 8 I 3.78

Values from the calculation:
The space-group type is P4/mmm (123). As for the offset from the most stable computed form: 0.00 kJ per mole of atoms. Its raw formation energy is 299.8 meV per atom.

This record from the Alexandria database describes a relaxed Pr8ErSc3 crystal. The functional is PBE.

Unit cell a=8.6416 b=8.6416 c=8.6416 alpha=133.27 beta=102.39 gamma=95.74
Last column: nearest neighbours and their distance in Å.
Sites, in units of the cell vectors:
Pr1 0.0845 0.2483 0.8363  2 Sc 3.38-3.67, 1 Er 3.42, 5 Pr 3.49-3.56
Pr2 0.2128 0.2771 0.4898  1 Sc 2.99, 1 Pr 3.06
Pr3 0.2128 0.7229 0.9357  1 Sc 2.99, 1 Pr 3.06
Pr4 0.4120 0.2483 0.1637  2 Sc 3.38-3.67, 1 Er 3.42, 5 Pr 3.49-3.56
Pr5 0.5880 0.7517 0.8363  2 Sc 3.38-3.67, 1 Er 3.42, 5 Pr 3.49-3.56
Pr6 0.7872 0.2771 0.0643  1 Sc 2.99, 1 Pr 3.06
Pr7 0.7872 0.7229 0.5102  1 Sc 2.99, 1 Pr 3.06
Pr8 0.9155 0.7517 0.1637  2 Sc 3.38-3.67, 1 Er 3.42, 5 Pr 3.49-3.56
Er1 0.5000 0.5000 0.0000  8 Pr 3.42-3.47
Sc1 0.0000 0.0000 0.0000  4 Pr 2.99
Sc2 0.2132 0.7132 0.5000  10 Pr 3.67-3.88
Sc3 0.7868 0.2868 0.5000  10 Pr 3.67-3.88

Values from the calculation:
The space-group type is Immm (71). The total energy is -4.7503 eV per atom.

Respective volume values: 98.7, 246.2, 106.5, 105.5, 312.5, 84.2, 150.5, 430.3 Å³/f.u..